## Pr3Sm4Tm5 (PBE-GGA)

Data for Pr3Sm4Tm5 after structural relaxation.

Unit cell a=16.047 b=5.973 c=9.369 alpha=90.00 beta=116.40 gamma=90.00
Space group C2/m (No. 12)
Symmetry-distinct sites (fractional):
Pr1 0.000 0.000 0.000 x2
Pr2 0.212 0.500 0.237 x4
Sm1 0.085 0.500 0.446 x4
Sm2 0.209 0.500 0.882 x4
Tm1 0.000 0.500 0.000 x2
Tm2 0.071 0.000 0.697 x4
Tm3 0.171 0.000 0.384 x4

Distance to the lowest polymorph of the same formula ... 0.2075 eV per atom
Energy of formation from the pure elements ... 0.227 eV per atom

## Pm2CrNi3P4 (PBE-GGA)

Data for Pm2CrNi3P4 after structural relaxation.

Unit cell a=4.011 b=4.011 c=9.410 alpha=90.00 beta=90.00 gamma=90.00
Space group P-4m2 (No. 115)
Symmetry-distinct sites (fractional):
Pm1 0.000 0.500 0.239 x2
Cr1 0.000 0.000 0.500 x1
Ni1 0.000 0.500 0.886 x2
Ni2 0.500 0.500 0.500 x1
P1 0.000 0.000 0.000 x1
P2 0.000 0.500 0.636 x2
P3 0.500 0.500 0.000 x1

Energy of formation from the pure elements ... -0.914 eV per atom

## CsK6Rb4 (PBE-GGA)

Data for CsK6Rb4 after structural relaxation.

Unit cell a=8.933 b=8.933 c=24.011 alpha=90.00 beta=90.00 gamma=90.00
Space group I-42m (No. 121)
Symmetry-distinct sites (fractional):
Cs1 0.000 0.000 0.000 x2
K1 0.000 0.500 0.000 x4
K2 0.188 0.188 0.184 x8
Rb1 0.182 0.182 0.371 x8

Energy of formation from the pure elements ... 0.069 eV per atom

## BiAs2PdO (PBE-GGA)

Data for BiAs2PdO after structural relaxation.

Unit cell a=4.533 b=4.533 c=4.501 alpha=90.00 beta=90.00 gamma=90.00
Space group P4/mmm (No. 123)
Symmetry-distinct sites (fractional):
Bi1 0.000 0.000 0.000 x1
As1 0.000 0.500 0.500 x2
Pd1 0.500 0.500 0.000 x1
O1 0.500 0.500 0.500 x1

Formation energy (no corrections) ... 0.1283 eV/atom

## Dy2ScPb (PBE-GGA)

Data for Dy2ScPb after structural relaxation.

Unit cell a=7.545 b=7.545 c=7.545 alpha=90.00 beta=90.00 gamma=90.00
Space group F-43m (No. 216)
Symmetry-distinct sites (fractional):
Dy1 0.000 0.000 0.000 x4
Dy2 0.250 0.250 0.250 x4
Sc1 0.000 0.000 0.500 x4
Pb1 0.250 0.250 0.750 x4

Distance to the lowest polymorph of the same formula ... 0.1854 eV per atom
Energy of formation from the pure elements ... -0.077 eV per atom

## Li2CoNi (PBE-GGA)

Data for Li2CoNi after structural relaxation.

Unit cell a=4.363 b=4.363 c=2.457 alpha=90.00 beta=90.00 gamma=90.00
Space group P4/mmm (No. 123)
Symmetry-distinct sites (fractional):
Li1 0.000 0.500 0.000 x2
Co1 0.000 0.000 0.500 x1
Ni1 0.500 0.500 0.500 x1

Distance to the lowest polymorph of the same formula ... 0.2838 eV per atom
Energy of formation from the pure elements ... 0.310 eV per atom

## Cd2CuRe (PBE-GGA)

Data for Cd2CuRe after structural relaxation.

Unit cell a=2.8643 b=2.8643 c=28.2936 alpha=90.00 beta=90.00 gamma=120.00
Space group R-3m (No. 166, hexagonal axes)
Symmetry-distinct sites (fractional):
Cd1 0.0000 0.0000 0.2466 x6
Cu1 0.0000 0.0000 0.5000 x3
Re1 0.0000 0.0000 0.0000 x3

Distance to the lowest polymorph of the same formula ... 0.0075 eV per atom
Energy of formation from the pure elements ... 0.400 eV per atom

## TaTi5Os6 (PBE-GGA)

Data for TaTi5Os6 after structural relaxation.

Unit cell a=4.401 b=6.218 c=13.178 alpha=90.00 beta=90.00 gamma=90.00
Space group Immm (No. 71)
Symmetry-distinct sites (fractional):
Ta1 0.000 0.000 0.000 x2
Ti1 0.000 0.000 0.333 x4
Ti2 0.000 0.500 0.000 x2
Ti3 0.000 0.500 0.332 x4
Os1 0.000 0.247 0.500 x4
Os2 0.000 0.251 0.167 x8

Energy of formation from the pure elements ... -0.655 eV per atom

## U3Mn5S12 (PBE-GGA)

Data for U3Mn5S12 after structural relaxation.

Unit cell a=14.866 b=14.866 c=14.866 alpha=90.00 beta=90.00 gamma=90.00
Space group Ia-3d (No. 230)
Symmetry-distinct sites (fractional):
U1 0.000 0.250 0.125 x24
Mn1 0.000 0.000 0.000 x16
Mn2 0.000 0.250 0.375 x24
S1 0.025 0.063 0.650 x96

Formation energy (no corrections) ... -0.8794 eV/atom

## NiOs (PBE-GGA)

Data for NiOs after structural relaxation.

Unit cell a=6.744 b=7.050 c=9.139 alpha=90.00 beta=90.00 gamma=90.00
Space group Fddd (No. 70, origin choice 2)
Symmetry-distinct sites (fractional):
Ni1 0.042 0.375 0.375 x16
Os1 0.125 0.299 0.625 x16

Energy of formation from the pure elements ... 0.725 eV per atom

## LiYSb2 (PBE-GGA)

Data for LiYSb2 after structural relaxation.

Unit cell a=4.176 b=4.176 c=6.130 alpha=90.00 beta=90.00 gamma=90.00
Space group P4mm (No. 99)
Symmetry-distinct sites (fractional):
Li1 0.000 0.000 0.000 x1
Y1 0.500 0.500 0.639 x1
Sb1 0.000 0.000 0.502 x1
Sb2 0.500 0.500 0.133 x1

Distance to the lowest polymorph of the same formula ... 0.2520 eV per atom
Formation energy (no corrections) ... -0.5468 eV/atom

## K4Ac3ThO8 (PBE-GGA)

Data for K4Ac3ThO8 after structural relaxation.

Unit cell a=7.7370 b=7.7370 c=19.7037 alpha=90.00 beta=90.00 gamma=120.00
Space group R-3m (No. 166, hexagonal axes)
Symmetry-distinct sites (fractional):
K1 0.0000 0.0000 0.0000 x3
K2 0.0000 0.5000 0.0000 x9
Ac1 0.0000 0.5000 0.5000 x9
Th1 0.0000 0.0000 0.5000 x3
O1 0.0000 0.0000 0.2258 x6
O2 0.0243 0.5121 0.2250 x18

Formation energy (no corrections) ... -2.5564 eV/atom

## LiVGaRu (PBE-GGA)

Data for LiVGaRu after structural relaxation.

Unit cell a=5.977 b=5.977 c=5.977 alpha=90.00 beta=90.00 gamma=90.00
Space group F-43m (No. 216)
Symmetry-distinct sites (fractional):
Li1 0.000 0.000 0.000 x4
V1 0.250 0.250 0.250 x4
Ga1 0.250 0.250 0.750 x4
Ru1 0.000 0.000 0.500 x4

Energy of formation from the pure elements ... -0.267 eV per atom

## Zn2CdSb (PBE-GGA)

Data for Zn2CdSb after structural relaxation.

Unit cell a=3.3599 b=3.3599 c=26.1282 alpha=90.00 beta=90.00 gamma=120.00
Space group R-3m (No. 166, hexagonal axes)
Symmetry-distinct sites (fractional):
Zn1 0.0000 0.0000 0.2461 x6
Cd1 0.0000 0.0000 0.5000 x3
Sb1 0.0000 0.0000 0.0000 x3

Distance to the lowest polymorph of the same formula ... 0.0321 eV per atom
Formation energy (no corrections) ... 0.1290 eV/atom